Record 1
{"formula": "MoPRhS2", "functional": "PBE", "state": "relaxed", "sg": "No. 123", "dos_at_fermi_per_ev_cell": 3.4, "formation_energy_uncorrected_ev_per_atom": 0.856, "density_g_cm3": 5.0, "de_polymorph_mev_per_atom": 171.2, "lattice_angstrom": [[4.7355, 0.0000, 0.0000], [0.0000, 4.7355, 0.0000], [0.0000, 0.0000, 4.3591]], "species": ["P", "S", "S", "Mo", "Rh"], "frac_coords": [[0.0000, 0.0000, 0.5000], [0.5000, 0.0000, 0.0000], [0.0000, 0.5000, 0.0000], [0.5000, 0.5000, 0.5000], [0.0000, 0.0000, 0.0000]]}

---

Record 2
{"formula": "SmMoP2Rh5", "functional": "PBE", "state": "relaxed", "sg": "No. 123", "dos_at_fermi_per_ev_cell": 5.2, "density_g_cm3": 8.3, "formation_enthalpy_0k_ev_per_atom": -0.269, "lattice_angstrom": [[-2.7408, -2.9130, 0.0743], [1.2086, -1.2293, -3.6099], [6.8190, -6.3028, 4.4293]], "species": ["Rh", "Rh", "Rh", "Rh", "Rh", "P", "P", "Mo", "Sm"], "frac_coords": [[0.5000, 0.0000, 0.1623], [0.0000, 0.0000, 0.5000], [0.0000, 0.5000, 0.8377], [0.0000, 0.5000, 0.1623], [0.5000, 0.0000, 0.8377], [0.0000, 0.0000, 0.7183], [0.0000, 0.0000, 0.2817], [0.0000, 0.0000, 0.0000], [0.5000, 0.5000, 0.5000]]}

---

Record 3
{"formula": "ThMoP2Rh2", "functional": "PBE", "state": "relaxed", "sg": "No. 164", "dos_at_fermi_per_ev_cell": 4.7, "density_g_cm3": 9.8, "formation_enthalpy_0k_ev_per_atom": -0.757, "lattice_angstrom": [[-2.8834, -1.9348, 2.3685], [3.9970, 0.1847, 1.2872], [-1.2594, 5.6681, 3.0971]], "species": ["Rh", "Rh", "Mo", "P", "P", "Th"], "frac_coords": [[0.6667, 0.3333, 0.2974], [0.3333, 0.6667, 0.7026], [0.0000, 0.0000, 0.5000], [0.3333, 0.6667, 0.3099], [0.6667, 0.3333, 0.6901], [0.0000, 0.0000, 0.0000]]}

---

Record 4
{"formula": "YMoP2Rh5", "functional": "PBE", "state": "relaxed", "sg": "No. 123", "dos_at_fermi_per_ev_cell": 4.9, "density_g_cm3": 7.7, "formation_enthalpy_0k_ev_per_atom": -0.256, "lattice_angstrom": [[3.9737, 0.0000, 0.0000], [0.0000, 3.9737, 0.0000], [0.0000, 0.0000, 10.3515]], "species": ["P", "P", "Y", "Mo", "Rh", "Rh", "Rh", "Rh", "Rh"], "frac_coords": [[0.0000, 0.0000, 0.2832], [0.0000, 0.0000, 0.7168], [0.5000, 0.5000, 0.5000], [0.0000, 0.0000, 0.0000], [0.5000, 0.0000, 0.1625], [0.0000, 0.5000, 0.8375], [0.0000, 0.5000, 0.1625], [0.5000, 0.0000, 0.8375], [0.0000, 0.0000, 0.5000]]}